1.
Entry from Alexandria via LeMat-Bulk: SmHgAu2 at its PBEsol-relaxed geometry (meta-GGA SCAN).

Computed properties:
Magnetization (μB/f.u.): 0.00
Final energy (eV per atom): -63.460
ΔH_f (0 K) (eV/atom): -0.730
SG: Fm-3m

abc: 4.9066 4.9066 4.9066
angles: 60.00 60.00 60.00
Closest atoms and distances in Å follow each position.
Fractional coordinates of all 4 atoms:
1 Au 0.7500 0.7500 0.7500  4 Sm 3.00, 4 Hg 3.00
2 Au 0.2500 0.2500 0.2500  4 Hg 3.00, 4 Sm 3.00
3 Hg 0.5000 0.5000 0.5000  8 Au 3.00
4 Sm 0.0000 0.0000 0.0000  8 Au 3.00

=====

2.
Entry from Alexandria via LeMat-Bulk: Sr2HgAu at its PBEsol-relaxed geometry (meta-GGA SCAN).

Computed properties:
Magnetization (μB/f.u.): 0.00
Final energy (eV per atom): -46.252
ΔH_f (0 K) (eV/atom): -0.784
SG: Amm2

abc: 4.2487 4.8036 6.2600
angles: 90.00 109.84 90.00
Closest atoms and distances in Å follow each position.
Fractional coordinates of all 4 atoms:
1 Sr 0.9852 0.5000 0.9705  4 Au 3.29, 3 Hg 3.31-3.35
2 Sr 0.2658 0.0000 0.5316  4 Hg 3.30, 3 Au 3.32-3.33
3 Au 0.5480 0.0000 0.0960  2 Hg 3.00, 7 Sr 3.29-3.33
4 Hg 0.7010 0.5000 0.4020  2 Au 3.00, 7 Sr 3.30-3.35

=====

3.
Entry from Alexandria via LeMat-Bulk: SrHgAu at its PBEsol-relaxed geometry (meta-GGA SCAN).

Computed properties:
Magnetization (μB/f.u.): 0.00
Final energy (eV per atom): -53.870
ΔH_f (0 K) (eV/atom): -0.671
SG: F-43m

abc: 4.9469 4.9469 4.9469
angles: 60.00 60.00 60.00
Closest atoms and distances in Å follow each position.
Fractional coordinates of all 3 atoms:
1 Sr 0.5000 0.5000 0.5000  4 Au 3.03
2 Au 0.2500 0.2500 0.2500  4 Hg 3.03, 4 Sr 3.03
3 Hg 0.0000 0.0000 0.0000  4 Au 3.03

=====

Copy entry 1 word for word.
Entry from Alexandria via LeMat-Bulk: SmHgAu2 at its PBEsol-relaxed geometry (meta-GGA SCAN).

Computed properties:
Magnetization (μB/f.u.): 0.00
Final energy (eV per atom): -63.460
ΔH_f (0 K) (eV/atom): -0.730
SG: Fm-3m

abc: 4.9066 4.9066 4.9066
angles: 60.00 60.00 60.00
Closest atoms and distances in Å follow each position.
Fractional coordinates of all 4 atoms:
1 Au 0.7500 0.7500 0.7500  4 Sm 3.00, 4 Hg 3.00
2 Au 0.2500 0.2500 0.2500  4 Hg 3.00, 4 Sm 3.00
3 Hg 0.5000 0.5000 0.5000  8 Au 3.00
4 Sm 0.0000 0.0000 0.0000  8 Au 3.00

=====

The lowest ΔH_f (0 K) belongs to which entry?
Sr2HgAu